Here is a relaxed Be2Re crystal from Alexandria via LeMat-Bulk. Energies are from GGA-PBEsol.

a = 4.3467 Å, b = 4.3467 Å, c = 14.2005 Å
α = 90.00°, β = 90.00°, γ = 120.00°
Space group P6_3/mmc (No. 194)
Symmetry-distinct sites (fractional):
Be 0.0000 0.5000 0.0000 [6 per cell]
Be 0.1636 0.3273 0.2500 [6 per cell]
Be 0.3333 0.6667 0.1253 [4 per cell]
Re 0.0000 0.0000 0.0945 [4 per cell]
Re 0.3333 0.6667 0.6576 [4 per cell]

Calculated values
Final energy (eV/atom): -7.483
Crystal system: hexagonal
Calculated formation energy (meV per atom): -373

=====

Here is a relaxed Be3Re crystal from Alexandria via LeMat-Bulk. Energies are from GGA-PBEsol.

a = 2.5052 Å, b = 3.7341 Å, c = 4.4678 Å
α = 90.00°, β = 101.55°, γ = 90.00°
Space group P2/m (No. 10)
Symmetry-distinct sites (fractional):
Be 0.0000 0.0000 0.0000 [1 per cell]
Be 0.1285 0.5000 0.7489 [2 per cell]
Re 0.5000 0.0000 0.5000 [1 per cell]

Calculated values
Final energy (eV/atom): -6.265
Crystal system: monoclinic
Calculated formation energy (meV per atom): 68

=====

Here is a relaxed Be5Re crystal from Alexandria via LeMat-Bulk. Energies are from GGA-PBEsol.

a = 4.2269 Å, b = 4.2269 Å, c = 3.3314 Å
α = 90.00°, β = 90.00°, γ = 120.00°
Space group P6/mmm (No. 191)
Symmetry-distinct sites (fractional):
Be 0.0000 0.5000 0.0000 [3 per cell]
Be 0.3333 0.6667 0.5000 [2 per cell]
Re 0.0000 0.0000 0.5000 [1 per cell]

Calculated values
Final energy (eV/atom): -5.642
Crystal system: hexagonal
Calculated formation energy (meV per atom): -87

=====

Here is a relaxed Be2Re crystal from Alexandria via LeMat-Bulk. Energies are from GGA-PBEsol.

a = 8.2961 Å, b = 3.1962 Å, c = 4.9239 Å
α = 90.00°, β = 108.48°, γ = 90.00°
Space group Cm (No. 8)
Symmetry-distinct sites (fractional):
Be 0.0000 0.0000 0.0000 [2 per cell]
Be 0.0241 0.0000 0.4981 [2 per cell]
Be 0.1889 0.5000 0.3606 [2 per cell]
Be 0.3273 0.0000 0.6649 [2 per cell]
Re 0.1488 0.5000 0.8293 [2 per cell]
Re 0.3651 0.0000 0.1958 [2 per cell]

Calculated values
Final energy (eV/atom): -7.171
Crystal system: monoclinic
Calculated formation energy (meV per atom): -61

=====

Here is a relaxed Be2Re crystal from Alexandria via LeMat-Bulk. Energies are from GGA-PBEsol.

a = 6.1486 Å, b = 6.1486 Å, c = 6.1486 Å
α = 90.00°, β = 90.00°, γ = 90.00°
Space group Fd-3m (No. 227, origin choice 2)
Symmetry-distinct sites (fractional):
Be 0.0000 0.0000 0.0000 [16 per cell]
Re 0.1250 0.1250 0.6250 [8 per cell]

Calculated values
Final energy (eV/atom): -7.475
Crystal system: cubic
Calculated formation energy (meV per atom): -364

=====

Here is a relaxed Be3Re crystal from Alexandria via LeMat-Bulk. Energies are from GGA-PBEsol.

a = 3.4578 Å, b = 4.6444 Å, c = 4.5788 Å
α = 90.00°, β = 90.00°, γ = 90.00°
Space group Pmmn (No. 59, origin choice 2)
Symmetry-distinct sites (fractional):
Be 0.2500 0.0141 0.1322 [4 per cell]
Be 0.2500 0.7500 0.7398 [2 per cell]
Re 0.2500 0.2500 0.6124 [2 per cell]

Calculated values
Final energy (eV/atom): -6.508
Crystal system: orthorhombic
Calculated formation energy (meV per atom): -175

=====

Here is a relaxed BeRe crystal from Alexandria via LeMat-Bulk. Energies are from GGA-PBEsol.

a = 4.1215 Å, b = 4.1215 Å, c = 11.1748 Å
α = 90.00°, β = 90.00°, γ = 120.00°
Space group R-3m (No. 166, hexagonal axes)
Symmetry-distinct sites (fractional):
Be 0.0000 0.0000 0.0989 [6 per cell]
Re 0.0000 0.0000 0.3096 [6 per cell]

Calculated values
Final energy (eV/atom): -8.109
Crystal system: trigonal
Calculated formation energy (meV per atom): 557

=====

Here is a relaxed Be2Re crystal from Alexandria via LeMat-Bulk. Energies are from GGA-PBEsol.

a = 3.2154 Å, b = 11.8708 Å, c = 3.2177 Å
α = 90.00°, β = 90.00°, γ = 90.00°
Space group Cmcm (No. 63)
Symmetry-distinct sites (fractional):
Be 0.0000 0.1144 0.2500 [4 per cell]
Be 0.0000 0.2499 0.7500 [4 per cell]
Re 0.0000 0.4126 0.2500 [4 per cell]

Calculated values
Final energy (eV/atom): -7.092
Crystal system: orthorhombic
Calculated formation energy (meV per atom): 19

=====

Here is a relaxed Be4Re3 crystal from Alexandria via LeMat-Bulk. Energies are from GGA-PBEsol.

a = 4.9953 Å, b = 4.9953 Å, c = 4.1825 Å
α = 90.00°, β = 90.00°, γ = 120.00°
Space group P6/mmm (No. 191)
Symmetry-distinct sites (fractional):
Be 0.0000 0.0000 0.2279 [2 per cell]
Be 0.3333 0.6667 0.5000 [2 per cell]
Re 0.0000 0.5000 0.0000 [3 per cell]

Calculated values
Final energy (eV/atom): -7.519
Crystal system: hexagonal
Calculated formation energy (meV per atom): 480

=====

Here is a relaxed BeRe crystal from Alexandria via LeMat-Bulk. Energies are from GGA-PBEsol.

a = 3.0951 Å, b = 8.6914 Å, c = 3.1738 Å
α = 90.00°, β = 90.00°, γ = 90.00°
Space group Cmcm (No. 63)
Symmetry-distinct sites (fractional):
Be 0.0000 0.0685 0.2500 [4 per cell]
Re 0.0000 0.3506 0.2500 [4 per cell]

Calculated values
Final energy (eV/atom): -8.818
Crystal system: orthorhombic
Calculated formation energy (meV per atom): -152

=====

Here is a relaxed BeRe crystal from Alexandria via LeMat-Bulk. Energies are from GGA-PBEsol.

a = 2.8141 Å, b = 2.8141 Å, c = 2.8141 Å
α = 90.00°, β = 90.00°, γ = 90.00°
Space group Pm-3m (No. 221)
Symmetry-distinct sites (fractional):
Be 0.0000 0.0000 0.0000 [1 per cell]
Re 0.5000 0.5000 0.5000 [1 per cell]

Calculated values
Final energy (eV/atom): -8.496
Crystal system: cubic
Calculated formation energy (meV per atom): 170

=====

Here is a relaxed Be7Re6 crystal from Alexandria via LeMat-Bulk. Energies are from GGA-PBEsol.

a = 4.4462 Å, b = 4.4462 Å, c = 24.8059 Å
α = 90.00°, β = 90.00°, γ = 120.00°
Space group R-3m (No. 166, hexagonal axes)
Symmetry-distinct sites (fractional):
Be 0.0000 0.0000 0.0000 [3 per cell]
Be 0.0024 0.5012 0.4081 [18 per cell]
Re 0.0000 0.0000 0.1672 [6 per cell]
Re 0.0000 0.0000 0.3510 [6 per cell]
Re 0.0000 0.0000 0.4500 [6 per cell]

Calculated values
Final energy (eV/atom): -8.557
Crystal system: trigonal
Calculated formation energy (meV per atom): -250